Density functional theory data (PBE) for a geometry-optimized La2Nd2TmHg5 structure.

a b c (Å): 12.3303 12.3303 3.9206
angles (deg): 90.00 90.00 90.00
Space group P4/mbm (No. 127)
Inequivalent atoms, fractional coordinates:
La (0.1611, 0.3388, 0.0000) [4 per cell]
Nd (0.1439, 0.6439, 0.0000) [4 per cell]
Tm (0.0000, 0.0000, 0.0000) [2 per cell]
Hg (0.0000, 0.5000, 0.5000) [2 per cell]
Hg (0.1164, 0.8494, 0.5000) [8 per cell]

Calculated values
The total energy is -57.4 eV/cell.

Density functional theory data (PBE) for a geometry-optimized LaNdYHg structure.

a b c (Å): 7.9020 7.9020 7.9020
angles (deg): 90.00 90.00 90.00
Space group F-43m (No. 216)
Inequivalent atoms, fractional coordinates:
La (0.0000, 0.0000, 0.0000) [4 per cell]
Nd (0.0000, 0.0000, 0.5000) [4 per cell]
Y (0.2500, 0.2500, 0.7500) [4 per cell]
Hg (0.2500, 0.2500, 0.2500) [4 per cell]

Calculated values
The total energy is -67.0 eV/cell.

Density functional theory data (PBE) for a geometry-optimized LaNdYHg structure.

a b c (Å): 3.7399 3.7399 8.8823
angles (deg): 90.00 90.00 90.00
Space group P4mm (No. 99)
Inequivalent atoms, fractional coordinates:
La (0.0000, 0.0000, 0.0000) [1 per cell]
Nd (0.5000, 0.5000, 0.7133) [1 per cell]
Y (0.5000, 0.5000, 0.2823) [1 per cell]
Hg (0.0000, 0.0000, 0.4833) [1 per cell]

Calculated values
The total energy is -17.4 eV/cell.